Record 1
The following is a GGA-PBE calculation of a geometry-optimized Tm3GeS2 structure, from the Alexandria database.

mass density: 6.0 g/cm³
raw formation energy: -0.902 eV/atom

```
data_Tm3GeS2
_cell_length_a 10.639
_cell_length_b 10.349
_cell_length_c 6.457
_cell_angle_alpha 90.00
_cell_angle_beta 90.00
_cell_angle_gamma 90.00
_symmetry_space_group_name_H-M 'C m c m'
_symmetry_Int_Tables_number 63
_symmetry_space_group_name_Hall '-C 2c 2'
loop_
_atom_site_label
_atom_site_type_symbol
_atom_site_fract_x
_atom_site_fract_y
_atom_site_fract_z
_atom_site_occupancy
Tm1 Tm 0.000 0.100 0.250 1
Tm2 Tm 0.156 0.412 0.250 1
Ge1 Ge 0.000 0.366 0.750 1
S1 S 0.169 0.000 0.000 1
```



Record 2
The following is a GGA-PBE calculation of a geometry-optimized Cs3TlAg2Br9 structure, from the Alexandria database.

mass density: 4.9 g/cm³
raw formation energy: -0.974 eV/atom

```
data_Cs3TlAg2Br9
_cell_length_a 7.9001
_cell_length_b 7.9001
_cell_length_c 9.7227
_cell_angle_alpha 90.00
_cell_angle_beta 90.00
_cell_angle_gamma 120.00
_symmetry_space_group_name_H-M 'P -3 m 1'
_symmetry_Int_Tables_number 164
_symmetry_space_group_name_Hall '-P 3 2"'
loop_
_atom_site_label
_atom_site_type_symbol
_atom_site_fract_x
_atom_site_fract_y
_atom_site_fract_z
_atom_site_occupancy
Cs1 Cs 0.0000 0.0000 0.0000 1
Cs2 Cs 0.3333 0.6667 0.6739 1
Tl1 Tl 0.0000 0.0000 0.5000 1
Ag1 Ag 0.3333 0.6667 0.1574 1
Br1 Br 0.0000 0.5000 0.0000 1
Br2 Br 0.1698 0.3396 0.3303 1
```



Record 3
The following is a GGA-PBE calculation of a geometry-optimized Na2HgPd3 structure, from the Alexandria database.

mass density: 7.9 g/cm³
VASP energy: -3.335 eV per atom

```
data_Na2HgPd3
_cell_length_a 9.510
_cell_length_b 5.513
_cell_length_c 5.520
_cell_angle_alpha 90.00
_cell_angle_beta 124.77
_cell_angle_gamma 90.00
_symmetry_space_group_name_H-M 'C 1 2/m 1'
_symmetry_Int_Tables_number 12
_symmetry_space_group_name_Hall '-C 2y'
loop_
_atom_site_label
_atom_site_type_symbol
_atom_site_fract_x
_atom_site_fract_y
_atom_site_fract_z
_atom_site_occupancy
Na1 Na 0.120 0.000 0.360 1
Hg1 Hg 0.000 0.500 0.500 1
Pd1 Pd 0.000 0.500 0.000 1
Pd2 Pd 0.250 0.250 0.000 1
```



Record 4
The following is a GGA-PBE calculation of a geometry-optimized Th8Tc2Pd structure, from the Alexandria database.

mass density: 11.0 g/cm³
VASP energy: -7.788 eV per atom

```
data_Th8Tc2Pd
_cell_length_a 13.067
_cell_length_b 6.874
_cell_length_c 7.284
_cell_angle_alpha 90.00
_cell_angle_beta 93.30
_cell_angle_gamma 90.00
_symmetry_space_group_name_H-M 'C 1 2/m 1'
_symmetry_Int_Tables_number 12
_symmetry_space_group_name_Hall '-C 2y'
loop_
_atom_site_label
_atom_site_type_symbol
_atom_site_fract_x
_atom_site_fract_y
_atom_site_fract_z
_atom_site_occupancy
Th1 Th 0.050 0.232 0.225 1
Th2 Th 0.206 0.000 0.875 1
Th3 Th 0.222 0.500 0.609 1
Tc1 Tc 0.110 0.500 0.927 1
Pd1 Pd 0.000 0.500 0.500 1
```



Record 5
The following is a GGA-PBE calculation of a geometry-optimized MnCrPb3 structure, from the Alexandria database.

mass density: 8.4 g/cm³
VASP energy: -5.227 eV per atom

```
data_MnCrPb3
_cell_length_a 5.234
_cell_length_b 5.234
_cell_length_c 5.234
_cell_angle_alpha 90.00
_cell_angle_beta 90.00
_cell_angle_gamma 90.00
_symmetry_space_group_name_H-M 'P m -3 m'
_symmetry_Int_Tables_number 221
_symmetry_space_group_name_Hall '-P 4 2 3'
loop_
_atom_site_label
_atom_site_type_symbol
_atom_site_fract_x
_atom_site_fract_y
_atom_site_fract_z
_atom_site_occupancy
Mn1 Mn 0.000 0.000 0.000 1
Cr1 Cr 0.500 0.500 0.500 1
Pb1 Pb 0.000 0.500 0.500 1
```



Record 6
The following is a GGA-PBE calculation of a geometry-optimized CoSiNi structure, from the Alexandria database.

mass density: 7.3 g/cm³
raw formation energy: -0.334 eV/atom

```
data_CoSiNi
_cell_length_a 3.8215
_cell_length_b 3.8215
_cell_length_c 2.6133
_cell_angle_alpha 90.00
_cell_angle_beta 90.00
_cell_angle_gamma 120.00
_symmetry_space_group_name_H-M 'P 3 m 1'
_symmetry_Int_Tables_number 156
_symmetry_space_group_name_Hall 'P 3 -2"'
loop_
_atom_site_label
_atom_site_type_symbol
_atom_site_fract_x
_atom_site_fract_y
_atom_site_fract_z
_atom_site_occupancy
Co1 Co 0.0000 0.0000 0.0000 1
Si1 Si 0.6667 0.3333 0.6883 1
Ni1 Ni 0.3333 0.6667 0.4755 1
```



Record 7
The following is a GGA-PBE calculation of a geometry-optimized PmZn2GaCo2 structure, from the Alexandria database.

mass density: 7.1 g/cm³
VASP energy: -4.077 eV per atom

```
data_PmZn2GaCo2
_cell_length_a 4.391
_cell_length_b 4.391
_cell_length_c 5.613
_cell_angle_alpha 90.00
_cell_angle_beta 90.00
_cell_angle_gamma 90.00
_symmetry_space_group_name_H-M 'P 4/m m m'
_symmetry_Int_Tables_number 123
_symmetry_space_group_name_Hall '-P 4 2'
loop_
_atom_site_label
_atom_site_type_symbol
_atom_site_fract_x
_atom_site_fract_y
_atom_site_fract_z
_atom_site_occupancy
Pm1 Pm 0.000 0.000 0.000 1
Zn1 Zn 0.500 0.500 0.252 1
Ga1 Ga 0.000 0.000 0.500 1
Co1 Co 0.000 0.500 0.500 1
```



Record 8
The following is a GGA-PBE calculation of a geometry-optimized SrLiCl2 structure, from the Alexandria database.

mass density: 2.3 g/cm³
raw formation energy: -1.611 eV/atom

```
data_SrLiCl2
_cell_length_a 3.725
_cell_length_b 7.977
_cell_length_c 8.106
_cell_angle_alpha 90.00
_cell_angle_beta 90.00
_cell_angle_gamma 90.00
_symmetry_space_group_name_H-M 'C m m m'
_symmetry_Int_Tables_number 65
_symmetry_space_group_name_Hall '-C 2 2'
loop_
_atom_site_label
_atom_site_type_symbol
_atom_site_fract_x
_atom_site_fract_y
_atom_site_fract_z
_atom_site_occupancy
Sr1 Sr 0.000 0.000 0.000 1
Li1 Li 0.000 0.000 0.500 1
Cl1 Cl 0.000 0.500 0.293 1
```